# PBE TaReBr3, optimized geometry
data_TaReBr3
_cell_length_a 5.035
_cell_length_b 5.035
_cell_length_c 5.035
_cell_angle_alpha 90.00
_cell_angle_beta 90.00
_cell_angle_gamma 90.00
_space_group_name_H-M_alt 'P m -3 m'
_space_group_IT_number 221
_space_group_name_Hall '-P 4 2 3'
loop_
_atom_site_label
_atom_site_type_symbol
_atom_site_fract_x
_atom_site_fract_y
_atom_site_fract_z
_atom_site_occupancy
Ta1 Ta 0.000 0.000 0.000 1
Re1 Re 0.500 0.500 0.500 1
Br1 Br 0.000 0.500 0.500 1
# Energy relative to the elements, uncorrected (meV/atom): 1690
# Total moment (μB/f.u.): 2.22